# Mg3Fe2O5 PBEsol relaxed
# **Electronic total energy**: -6.8956 eV/atom
data_Mg3Fe2O5
_cell_length_a 5.141
_cell_length_b 5.141
_cell_length_c 6.662
_cell_angle_alpha 129.23
_cell_angle_beta 129.23
_cell_angle_gamma 48.04
_space_group_name_H-M_alt 'P 1'
_space_group_IT_number 1
_space_group_name_Hall 'P 1'
loop_
_atom_site_label
_atom_site_type_symbol
_atom_site_fract_x
_atom_site_fract_y
_atom_site_fract_z
_atom_site_occupancy
Mg1 Mg 0.000 0.000 0.000 1
Mg2 Mg 0.205 0.205 0.802 1
Mg3 Mg 0.795 0.795 0.198 1
Fe1 Fe 0.402 0.402 0.588 1
Fe2 Fe 0.598 0.598 0.412 1
O1 O 0.093 0.093 0.398 1
O2 O 0.287 0.287 0.183 1
O3 O 0.500 0.500 0.000 1
O4 O 0.713 0.713 0.817 1
O5 O 0.907 0.907 0.602 1